# CaZrAu2, PBEsol geometry, DFT meta-GGA SCAN
# formation energy: -0.821 eV/atom
# calculated total energy: -45.490 eV per atom
# volume: 84.3 Å³/cell
data_CaZrAu2
_chemical_formula_sum 'Ca1 Zr1 Au2'
_space_group_name_H-M_alt 'P 1'
_space_group_IT_number 1
_space_group_name_Hall 'P 1'
_cell_length_a 3.337
_cell_length_b 3.496
_cell_length_c 7.228
_cell_angle_alpha 90.00
_cell_angle_beta 90.00
_cell_angle_gamma 90.00
loop_
_atom_site_label
_atom_site_fract_x
_atom_site_fract_y
_atom_site_fract_z
Ca1 0.500 0.500 0.000
Au1 0.000 0.000 0.283
Au2 0.000 0.000 0.717
Zr1 0.500 0.500 0.500

=====

# Y5Ru3, PBEsol geometry, DFT meta-GGA SCAN
# formation energy: -0.339 eV/atom
# energy above the most stable polymorph in this dataset: 39.8 meV per atom
# calculated total energy: -30.801 eV per atom
# volume: 350.7 Å³/cell
data_Y5Ru3
_chemical_formula_sum 'Y10 Ru6'
_space_group_name_H-M_alt 'P 1'
_space_group_IT_number 1
_space_group_name_Hall 'P 1'
_cell_length_a 5.991
_cell_length_b 8.217
_cell_length_c 8.217
_cell_angle_alpha 82.36
_cell_angle_beta 68.62
_cell_angle_gamma 68.62
loop_
_atom_site_label
_atom_site_fract_x
_atom_site_fract_y
_atom_site_fract_z
Y1 0.291 0.290 0.128
Y2 0.209 0.872 0.710
Y3 0.250 0.500 0.500
Y4 0.081 0.710 0.128
Y5 0.581 0.128 0.710
Y6 0.791 0.128 0.290
Y7 0.919 0.290 0.872
Y8 0.709 0.710 0.872
Y9 0.419 0.872 0.290
Y10 0.750 0.500 0.500
Ru1 0.845 0.811 0.500
Ru2 0.655 0.500 0.189
Ru3 0.750 0.000 0.000
Ru4 0.155 0.189 0.500
Ru5 0.345 0.500 0.811
Ru6 0.250 0.000 0.000